Material: Ce3Pm2Au7
Method: DFT, GGA-PBE
State: optimized geometry

Values from the calculation:
The value obtained for the energy of formation is -6.73 eV per formula unit.

Cell: 5.2205 21.6633 5.4734 Å, 90.00 90.00 90.00°
With the nearest neighbours (Å) after each atom.
Space group Cmmm (No. 65)
One atom of each set of equivalent atoms:
1 Ce 0.0000 0.0000 0.0000  8 Au 3.15-3.19
2 Ce 0.0000 0.1651 0.0000  4 Au 2.98-3.14
3 Pm 0.0000 0.3589 0.5000  8 Au 3.00-3.12
4 Au 0.0000 0.0721 0.5000  2 Pm 3.01, 4 Au 3.04-3.20, 2 Ce 3.15
5 Au 0.0000 0.2197 0.5000  3 Au 2.92-3.20, 2 Ce 2.98, 3 Pm 3.02-3.12
6 Au 0.0000 0.4153 0.0000  2 Pm 3.00, 4 Ce 3.14-3.19, 2 Au 3.29
7 Au 0.0000 0.5000 0.5000  8 Au 3.04-3.29, 2 Pm 3.06

=====

Material: CePmAu4
Method: DFT, GGA-PBE
State: optimized geometry

Values from the calculation:
The value obtained for the energy of formation is -4.36 eV per formula unit.

Cell: 3.8389 3.8389 9.3126 Å, 90.00 90.00 90.00°
With the nearest neighbours (Å) after each atom.
Space group P4/mmm (No. 123)
One atom of each set of equivalent atoms:
1 Ce 0.0000 0.0000 0.0000  10 Au 3.12-3.13
2 Pm 0.5000 0.5000 0.5000  10 Au 3.09-3.12
3 Au 0.0000 0.0000 0.3349  5 Au 3.07-3.13, 1 Ce 3.12, 4 Pm 3.12
4 Au 0.5000 0.5000 0.1678  1 Pm 3.09, 5 Au 3.13, 4 Ce 3.13

=====

Material: CePm2Au3
Method: DFT, GGA-PBE
State: optimized geometry

Values from the calculation:
The value obtained for the energy of formation is -4.31 eV per formula unit.

Cell: 3.6697 3.6697 11.2377 Å, 90.00 90.00 90.00°
With the nearest neighbours (Å) after each atom.
Space group P4/mmm (No. 123)
One atom of each set of equivalent atoms:
1 Ce 0.0000 0.0000 0.0000  8 Au 3.23
2 Pm 0.0000 0.0000 0.3342  8 Au 3.18-3.19
3 Au 0.5000 0.5000 0.1704  4 Pm 3.18, 4 Ce 3.23
4 Au 0.5000 0.5000 0.5000  8 Pm 3.19

=====

Material: Ce2PmAu
Method: DFT, GGA-PBE
State: optimized geometry

Values from the calculation:
The value obtained for the energy of formation is -0.81 eV per formula unit.

Cell: 4.3228 4.3228 5.5729 Å, 90.00 90.00 90.00°
With the nearest neighbours (Å) after each atom.
Space group P4/mmm (No. 123)
One atom of each set of equivalent atoms:
1 Ce 0.0000 0.5000 0.0000  4 Ce 3.06
2 Pm 0.0000 0.0000 0.5000  4 Au 3.06
3 Au 0.5000 0.5000 0.5000  4 Pm 3.06

=====

Material: Ce2PmAu4
Method: DFT, GGA-PBE
State: optimized geometry

Values from the calculation:
The value obtained for the energy of formation is -3.83 eV per formula unit.

Cell: 5.3541 5.3541 13.0268 Å, 90.00 90.00 90.00°
With the nearest neighbours (Å) after each atom.
Space group I4/mmm (No. 139)
One atom of each set of equivalent atoms:
1 Ce 0.0000 0.0000 0.2197  4 Au 2.98
2 Pm 0.0000 0.0000 0.5000  8 Au 3.09
3 Au 0.0000 0.5000 0.1192  2 Ce 2.98, 2 Pm 3.09, 1 Au 3.10

=====

Material: Ce2Pm2Au5
Method: DFT, GGA-PBE
State: optimized geometry

Values from the calculation:
The value obtained for the energy of formation is -5.51 eV per formula unit.

Cell: 15.0577 7.9919 7.9812 Å, 90.00 90.00 90.00°
With the nearest neighbours (Å) after each atom.
Space group Cmce (No. 64)
One atom of each set of equivalent atoms:
1 Ce 0.1990 0.0000 0.0000  7 Au 3.00-3.17
2 Pm 0.0000 0.1540 0.3468  8 Au 3.01-3.20
3 Au 0.0000 0.0000 0.0000  2 Ce 3.00, 4 Pm 3.02-3.03
4 Au 0.1371 0.1527 0.6519  3 Ce 3.01-3.17, 3 Pm 3.01-3.20

=====

Material: CePmAu2
Method: DFT, GGA-PBE
State: optimized geometry

Values from the calculation:
The value obtained for the energy of formation is -2.91 eV per formula unit.

Cell: 4.7649 3.8703 11.3191 Å, 90.00 90.00 90.00°
With the nearest neighbours (Å) after each atom.
Space group Amm2 (No. 38)
One atom of each set of equivalent atoms:
1 Ce 0.0000 0.0000 0.0000  7 Au 3.12-3.18
2 Pm 0.5000 0.0000 0.2760  7 Au 3.09-3.22
3 Au 0.0000 0.0000 0.7231  2 Au 3.09, 4 Pm 3.13, 3 Ce 3.13-3.18
4 Au 0.5000 0.0000 0.5489  3 Pm 3.09-3.22, 2 Au 3.09, 4 Ce 3.12

=====

Material: CePm4Au5
Method: DFT, GGA-PBE
State: optimized geometry

Values from the calculation:
The value obtained for the energy of formation is -7.45 eV per formula unit.

Cell: 3.6684 3.6684 18.7494 Å, 90.00 90.00 90.00°
With the nearest neighbours (Å) after each atom.
Space group P4/mmm (No. 123)
One atom of each set of equivalent atoms:
1 Ce 0.0000 0.0000 0.0000  8 Au 3.23
2 Pm 0.0000 0.0000 0.2008  8 Au 3.18-3.20
3 Pm 0.0000 0.0000 0.4002  8 Au 3.19-3.20
4 Au 0.5000 0.5000 0.1026  4 Pm 3.18, 4 Ce 3.23
5 Au 0.5000 0.5000 0.3008  8 Pm 3.19-3.20
6 Au 0.5000 0.5000 0.5000  8 Pm 3.20

=====

Material: CePm2Au4
Method: DFT, GGA-PBE
State: optimized geometry

Values from the calculation:
The value obtained for the energy of formation is -3.94 eV per formula unit.

Cell: 7.2917 7.2917 7.1111 Å, 90.00 90.00 90.00°
With the nearest neighbours (Å) after each atom.
Space group I4/mmm (No. 139)
One atom of each set of equivalent atoms:
1 Ce 0.0000 0.0000 0.0000  8 Au 3.13
2 Pm 0.0000 0.5000 0.0000  8 Au 3.13
3 Au 0.2500 0.2500 0.2500  2 Ce 3.13, 4 Pm 3.13

=====

Material: CePm2Au6
Method: DFT, GGA-PBE
State: optimized geometry

Values from the calculation:
The value obtained for the energy of formation is -6.17 eV per formula unit.

Cell: 3.7162 7.7710 14.8688 Å, 90.00 90.00 90.00°
With the nearest neighbours (Å) after each atom.
Space group Immm (No. 71)
One atom of each set of equivalent atoms:
1 Ce 0.0000 0.0000 0.0000  4 Au 3.08
2 Pm 0.0000 0.5000 0.1414  10 Au 3.07-3.15
3 Au 0.0000 0.1846 0.5000  3 Au 2.81-2.87, 2 Ce 3.08
4 Au 0.0000 0.3157 0.3238  4 Au 2.81-3.05, 3 Pm 3.07-3.12

=====

Material: CePmAu2
Method: DFT, GGA-PBE
State: optimized geometry

Values from the calculation:
The value obtained for the energy of formation is -2.72 eV per formula unit.

Cell: 5.0539 7.3269 5.4041 Å, 90.00 90.00 90.00°
With the nearest neighbours (Å) after each atom.
Space group Pmmn (No. 59, origin choice 2)
One atom of each set of equivalent atoms:
1 Ce 0.2500 0.2500 0.2224  8 Au 3.15-3.38, 2 Pm 3.50
2 Pm 0.2500 0.7500 0.2262  8 Au 3.14-3.40, 2 Ce 3.50
3 Au 0.2500 0.0009 0.6968  4 Pm 3.14-3.40, 4 Ce 3.15-3.38, 2 Au 3.30

=====

Material: Ce2PmAu
Method: DFT, GGA-PBE
State: optimized geometry

Values from the calculation:
The value obtained for the energy of formation is -0.31 eV per formula unit.

Cell: 7.5047 7.5047 7.5047 Å, 90.00 90.00 90.00°
With the nearest neighbours (Å) after each atom.
Space group Fm-3m (No. 225)
One atom of each set of equivalent atoms:
1 Ce 0.2500 0.2500 0.2500  4 Pm 3.25, 4 Au 3.25
2 Pm 0.0000 0.0000 0.0000  8 Ce 3.25
3 Au 0.0000 0.0000 0.5000  8 Ce 3.25

=====

Material: Ce3PmAu7
Method: DFT, GGA-PBE
State: optimized geometry

Values from the calculation:
The value obtained for the energy of formation is -6.80 eV per formula unit.

Cell: 3.8082 22.6511 12.7924 Å, 90.00 90.00 90.00°
With the nearest neighbours (Å) after each atom.
Space group Cmcm (No. 63)
One atom of each set of equivalent atoms:
1 Ce 0.0000 0.1433 0.0635  9 Au 3.05-3.33
2 Ce 0.0000 0.1919 0.7500  8 Au 3.07-3.21
3 Pm 0.0000 0.0064 0.7500  10 Au 3.08-3.41
4 Au 0.0000 0.2784 0.0691  3 Au 2.90-2.91, 5 Ce 3.06-3.11
5 Au 0.0000 0.3815 0.7500  2 Au 2.86, 4 Ce 3.10
6 Au 0.0000 0.4017 0.1341  4 Au 2.91-3.18, 2 Pm 3.19, 2 Ce 3.21
7 Au 0.0000 0.4617 0.5776  2 Au 2.64-2.86

=====

Material: Ce5PmAu6
Method: DFT, GGA-PBE
State: optimized geometry

Values from the calculation:
The value obtained for the energy of formation is -7.47 eV per formula unit.

Cell: 16.3977 7.4586 5.2052 Å, 90.00 108.51 90.00°
With the nearest neighbours (Å) after each atom.
Space group C2/m (No. 12)
One atom of each set of equivalent atoms:
1 Ce 0.0000 0.0000 0.0000  8 Au 3.24-3.29, 4 Ce 3.57-3.58
2 Ce 0.1576 0.0000 0.6562  8 Au 3.17-3.27
3 Ce 0.1751 0.5000 0.6736  8 Au 3.15-3.22
4 Pm 0.0000 0.5000 0.0000  8 Au 3.12-3.14
5 Au 0.0000 0.2703 0.5000  2 Pm 3.12, 6 Ce 3.17-3.29, 1 Au 3.43
6 Au 0.1662 0.2615 0.1643  1 Pm 3.14, 7 Ce 3.15-3.27

=====

Material: Ce2PmAu
Method: DFT, GGA-PBE
State: optimized geometry

Values from the calculation:
The value obtained for the energy of formation is -0.86 eV per formula unit.

Cell: 3.7452 3.7452 8.2469 Å, 90.00 90.00 90.00°
With the nearest neighbours (Å) after each atom.
Space group P4/mmm (No. 123)
One atom of each set of equivalent atoms:
1 Ce 0.0000 0.0000 0.2062  4 Au 3.15, 1 Ce 3.40
2 Pm 0.5000 0.5000 0.5000  8 Ce 3.59, 4 Pm 3.75
3 Au 0.5000 0.5000 0.0000  8 Ce 3.15

=====

Material: CePm2Au8
Method: DFT, GGA-PBE
State: optimized geometry

Values from the calculation:
The value obtained for the energy of formation is -7.26 eV per formula unit.

Cell: 8.0705 15.3291 5.2421 Å, 90.00 130.37 90.00°
With the nearest neighbours (Å) after each atom.
Space group C2/m (No. 12)
One atom of each set of equivalent atoms:
1 Ce 0.0000 0.0000 0.0000  6 Au 3.07-3.35
2 Pm 0.0000 0.3147 0.5000  12 Au 3.08-3.22
3 Au 0.0000 0.2005 0.0000  6 Au 3.06-3.16, 1 Ce 3.07, 4 Pm 3.08-3.15
4 Au 0.0016 0.5000 0.2515  2 Au 2.62
5 Au 0.2272 0.1323 0.7289  4 Au 2.79-3.06, 1 Pm 3.13

=====

Material: Ce2PmAu3
Method: DFT, GGA-PBE
State: optimized geometry

Values from the calculation:
The value obtained for the energy of formation is -3.30 eV per formula unit.

Cell: 4.5497 22.2662 6.3344 Å, 90.00 90.00 90.00°
With the nearest neighbours (Å) after each atom.
Space group Cmcm (No. 63)
One atom of each set of equivalent atoms:
1 Ce 0.0000 0.0213 0.2500  8 Au 3.05-3.35, 2 Ce 3.31
2 Ce 0.0000 0.1436 0.7500  6 Au 3.03-3.16
3 Pm 0.0000 0.3187 0.7500  4 Au 2.96-3.05
4 Au 0.0000 0.2667 0.2500  2 Pm 2.96, 2 Ce 3.03
5 Au 0.0000 0.4313 0.0247  2 Au 2.85-3.07, 1 Pm 3.05, 4 Ce 3.05-3.16

=====

Material: Ce2PmAu8
Method: DFT, GGA-PBE
State: optimized geometry

Values from the calculation:
The value obtained for the energy of formation is -6.93 eV per formula unit.

Cell: 8.0255 15.3668 5.2586 Å, 90.00 130.68 90.00°
With the nearest neighbours (Å) after each atom.
Space group C2/m (No. 12)
One atom of each set of equivalent atoms:
1 Ce 0.0000 0.1845 0.0000  12 Au 3.05-3.21
2 Pm 0.0000 0.5000 0.5000  6 Au 3.08-3.32
3 Au 0.0000 0.2994 0.5000  6 Au 3.05-3.17, 4 Ce 3.05-3.17, 1 Pm 3.08
4 Au 0.0018 0.0000 0.7520  4 Au 2.63-2.93
5 Au 0.2280 0.3672 0.2303  4 Au 2.78-3.05

=====

Material: CePmRhAu
Method: DFT, GGA-PBE
State: optimized geometry

Values from the calculation:
The value obtained for the energy of formation is -3.04 eV per formula unit.

Cell: 4.1346 3.9336 11.9682 Å, 90.00 90.00 90.00°
With the nearest neighbours (Å) after each atom.
Space group Amm2 (No. 38)
One atom of each set of equivalent atoms:
1 Ce 0.0000 0.0000 0.0000  4 Rh 2.87, 2 Au 3.15
2 Pm 0.5000 0.0000 0.2811  1 Rh 2.94, 4 Au 2.99
3 Rh 0.5000 0.0000 0.5269  4 Ce 2.87, 1 Pm 2.94, 2 Au 2.98
4 Au 0.0000 0.0000 0.7059  2 Rh 2.98, 4 Pm 2.99, 2 Ce 3.15

=====

Material: CePmRhAu
Method: DFT, GGA-PBE
State: optimized geometry

Values from the calculation:
The value obtained for the energy of formation is -2.57 eV per formula unit.

Cell: 7.2036 7.2036 7.2036 Å, 90.00 90.00 90.00°
With the nearest neighbours (Å) after each atom.
Space group F-43m (No. 216)
One atom of each set of equivalent atoms:
1 Ce 0.0000 0.0000 0.0000  4 Au 3.12, 4 Rh 3.12
2 Pm 0.0000 0.0000 0.5000  4 Rh 3.12, 4 Au 3.12
3 Rh 0.2500 0.2500 0.2500  4 Ce 3.12, 4 Pm 3.12
4 Au 0.2500 0.2500 0.7500  4 Pm 3.12, 4 Ce 3.12

=====

Material: Ce2PmSn2Au2
Method: DFT, GGA-PBE
State: optimized geometry

Values from the calculation:
The value obtained for the energy of formation is -4.08 eV per formula unit.

Cell: 4.7291 4.7291 27.5371 Å, 90.00 90.00 120.00°
With the nearest neighbours (Å) after each atom.
Space group R-3m (No. 166, hexagonal axes)
One atom of each set of equivalent atoms:
1 Ce 0.0000 0.0000 0.1425  3 Au 3.01, 3 Ce 3.04
2 Pm 0.0000 0.0000 0.0000  6 Sn 3.27
3 Sn 0.0000 0.0000 0.2681  3 Au 2.86
4 Au 0.0000 0.0000 0.4299  3 Sn 2.86, 3 Ce 3.01

=====

Material: CePmTcAu
Method: DFT, GGA-PBE
State: optimized geometry

Values from the calculation:
The value obtained for the energy of formation is -0.94 eV per formula unit.

Cell: 7.1643 7.1643 7.1643 Å, 90.00 90.00 90.00°
With the nearest neighbours (Å) after each atom.
Space group F-43m (No. 216)
One atom of each set of equivalent atoms:
1 Ce 0.0000 0.0000 0.0000  4 Au 3.10, 4 Tc 3.10
2 Pm 0.0000 0.0000 0.5000  4 Tc 3.10, 4 Au 3.10
3 Tc 0.2500 0.2500 0.2500  4 Ce 3.10, 4 Pm 3.10
4 Au 0.2500 0.2500 0.7500  4 Ce 3.10, 4 Pm 3.10

=====

Material: CePmTeAu
Method: DFT, GGA-PBE
State: optimized geometry

Values from the calculation:
For the formation energy (no corrections), the calculation gives -3.33 eV/f.u.

Cell: 7.5714 7.5714 7.5714 Å, 90.00 90.00 90.00°
With the nearest neighbours (Å) after each atom.
Space group F-43m (No. 216)
One atom of each set of equivalent atoms:
1 Ce 0.0000 0.0000 0.0000  4 Te 3.28, 4 Au 3.28
2 Pm 0.0000 0.0000 0.5000  4 Te 3.28, 4 Au 3.28
3 Te 0.2500 0.2500 0.2500  4 Ce 3.28, 4 Pm 3.28
4 Au 0.2500 0.2500 0.7500  4 Ce 3.28, 4 Pm 3.28

=====

Material: CePmTlAu
Method: DFT, GGA-PBE
State: optimized geometry

Values from the calculation:
The value obtained for the energy of formation is -1.74 eV per formula unit.

Cell: 7.6071 7.6071 7.6071 Å, 90.00 90.00 90.00°
With the nearest neighbours (Å) after each atom.
Space group F-43m (No. 216)
One atom of each set of equivalent atoms:
1 Ce 0.0000 0.0000 0.0000  4 Tl 3.29, 4 Au 3.29
2 Pm 0.0000 0.0000 0.5000  4 Tl 3.29, 4 Au 3.29
3 Tl 0.2500 0.2500 0.2500  4 Ce 3.29, 4 Pm 3.29
4 Au 0.2500 0.2500 0.7500  4 Ce 3.29, 4 Pm 3.29

=====

Material: CePmTlAu
Method: DFT, GGA-PBE
State: optimized geometry

Values from the calculation:
The value obtained for the energy of formation is -1.96 eV per formula unit.

Cell: 3.6748 3.6748 8.0924 Å, 90.00 90.00 90.00°
With the nearest neighbours (Å) after each atom.
Space group P4mm (No. 99)
One atom of each set of equivalent atoms:
1 Ce 0.0000 0.0000 0.0000  4 Au 3.22, 4 Tl 3.41
2 Pm 0.0000 0.0000 0.4575  4 Au 3.16, 4 Tl 3.40
3 Tl 0.5000 0.5000 0.7279  4 Pm 3.40, 4 Ce 3.41, 4 Tl 3.67
4 Au 0.5000 0.5000 0.2357  4 Pm 3.16, 4 Ce 3.22